Record 1
# PBE DyZrPb2O6, optimized geometry
data_DyZrPb2O6
_symmetry_space_group_name_H-M 'P 1 21/c 1'
_symmetry_Int_Tables_number 14
_symmetry_space_group_name_Hall '-P 2ybc'
_cell_length_a 5.858
_cell_length_b 6.058
_cell_length_c 10.286
_cell_angle_alpha 90.00
_cell_angle_beta 124.65
_cell_angle_gamma 90.00
loop_
_atom_site_label
_atom_site_type_symbol
_atom_site_fract_x
_atom_site_fract_y
_atom_site_fract_z
_atom_site_occupancy
Dy1 Dy 0.000 0.000 0.000 1
Zr1 Zr 0.500 0.000 0.500 1
Pb1 Pb 0.241 0.036 0.749 1
O1 O 0.146 0.185 0.447 1
O2 O 0.264 0.703 0.444 1
O3 O 0.369 0.038 0.259 1
# Fermi-level density of states in states/eV/cell: 12.664
# Volume in Å³ per atom: 15.014
# Formation energy without anion corrections in eV per atom: -2.27
# Calculated total energy in eV/atom: -7.305


Record 2
# PBE Tb2TcSe, optimized geometry
data_Tb2TcSe
_symmetry_space_group_name_H-M 'R -3 m'
_symmetry_Int_Tables_number 166
_symmetry_space_group_name_Hall '-R 3 2"'
_cell_length_a 3.6592
_cell_length_b 3.6592
_cell_length_c 26.6160
_cell_angle_alpha 90.00
_cell_angle_beta 90.00
_cell_angle_gamma 120.00
loop_
_atom_site_label
_atom_site_type_symbol
_atom_site_fract_x
_atom_site_fract_y
_atom_site_fract_z
_atom_site_occupancy
Tb1 Tb 0.0000 0.0000 0.0941 1
Tc1 Tc 0.0000 0.0000 0.0000 1
Se1 Se 0.0000 0.0000 0.5000 1
# Fermi-level density of states in states/eV/cell: 12.981
# Volume in Å³ per atom: 25.719
# Formation energy without anion corrections in eV per atom: -0.01
# Calculated total energy in eV/atom: -5.787


Record 3
# PBE NaFeAuN, optimized geometry
data_NaFeAuN
_symmetry_space_group_name_H-M 'P 4/n m m'
_symmetry_Int_Tables_number 129
_cell_length_a 3.595
_cell_length_b 3.595
_cell_length_c 10.219
_cell_angle_alpha 90.00
_cell_angle_beta 90.00
_cell_angle_gamma 90.00
loop_
_symmetry_equiv_pos_as_xyz
'x,y,z'
'-x,-y,-z'
'-y+1/2,x,z'
'y+1/2,-x,-z'
'-x+1/2,-y+1/2,z'
'x+1/2,y+1/2,-z'
'y,-x+1/2,z'
'-y,x+1/2,-z'
'x+1/2,-y,-z'
'-x+1/2,y,z'
'-y,-x,-z'
'y,x,z'
'-x,y+1/2,-z'
'x,-y+1/2,z'
'y+1/2,x+1/2,-z'
'-y+1/2,-x+1/2,z'
loop_
_atom_site_label
_atom_site_type_symbol
_atom_site_fract_x
_atom_site_fract_y
_atom_site_fract_z
_atom_site_occupancy
Na1 Na 0.250 0.250 0.248 1
Fe1 Fe 0.250 0.750 0.000 1
Au1 Au 0.250 0.750 0.500 1
N1 N 0.250 0.250 0.924 1
# Fermi-level density of states in states/eV/cell: 4.230
# Volume in Å³ per atom: 16.509
# Formation energy without anion corrections in eV per atom: -0.01
# Calculated total energy in eV/atom: -5.352


Record 4
# PBE Pm3SnS, optimized geometry
data_Pm3SnS
_symmetry_space_group_name_H-M 'P m -3 m'
_symmetry_Int_Tables_number 221
_symmetry_space_group_name_Hall '-P 4 2 3'
_cell_length_a 5.317
_cell_length_b 5.317
_cell_length_c 5.317
_cell_angle_alpha 90.00
_cell_angle_beta 90.00
_cell_angle_gamma 90.00
loop_
_atom_site_label
_atom_site_type_symbol
_atom_site_fract_x
_atom_site_fract_y
_atom_site_fract_z
_atom_site_occupancy
Pm1 Pm 0.000 0.000 0.500 1
Sn1 Sn 0.500 0.500 0.500 1
S1 S 0.000 0.000 0.000 1
# Fermi-level density of states in states/eV/cell: 3.692
# Volume in Å³ per atom: 30.058
# Formation energy without anion corrections in eV per atom: -0.94
# Calculated total energy in eV/atom: -5.413


Record 5
# PBE YZnOs2, optimized geometry
data_YZnOs2
_symmetry_space_group_name_H-M 'P 1 2/m 1'
_symmetry_Int_Tables_number 10
_symmetry_space_group_name_Hall '-P 2y'
_cell_length_a 2.887
_cell_length_b 4.506
_cell_length_c 5.346
_cell_angle_alpha 90.00
_cell_angle_beta 97.45
_cell_angle_gamma 90.00
loop_
_atom_site_label
_atom_site_type_symbol
_atom_site_fract_x
_atom_site_fract_y
_atom_site_fract_z
_atom_site_occupancy
Y1 Y 0.000 0.000 0.000 1
Zn1 Zn 0.500 0.000 0.500 1
Os1 Os 0.301 0.500 0.709 1
# Fermi-level density of states in states/eV/cell: 3.981
# ΔE_f in eV per atom: 0.262
# Volume in Å³ per atom: 17.237
# Calculated total energy in eV/atom: -7.288


Record 6
# PBE Nd5Mg4Ag, optimized geometry
data_Nd5Mg4Ag
_symmetry_space_group_name_H-M 'P 4/m m m'
_symmetry_Int_Tables_number 123
_symmetry_space_group_name_Hall '-P 4 2'
_cell_length_a 3.867
_cell_length_b 3.867
_cell_length_c 19.205
_cell_angle_alpha 90.00
_cell_angle_beta 90.00
_cell_angle_gamma 90.00
loop_
_atom_site_label
_atom_site_type_symbol
_atom_site_fract_x
_atom_site_fract_y
_atom_site_fract_z
_atom_site_occupancy
Nd1 Nd 0.000 0.000 0.000 1
Nd2 Nd 0.000 0.000 0.204 1
Nd3 Nd 0.000 0.000 0.405 1
Mg1 Mg 0.500 0.500 0.102 1
Mg2 Mg 0.500 0.500 0.303 1
Ag1 Ag 0.500 0.500 0.500 1
# Fermi-level density of states in states/eV/cell: 9.963
# ΔE_f in eV per atom: -0.139
# Volume in Å³ per atom: 28.715
# Calculated total energy in eV/atom: -3.446


Record 7
# PBE Sr4PSCl2, optimized geometry
data_Sr4PSCl2
_symmetry_space_group_name_H-M 'P 1 2/m 1'
_symmetry_Int_Tables_number 10
_symmetry_space_group_name_Hall '-P 2y'
_cell_length_a 7.493
_cell_length_b 4.365
_cell_length_c 7.532
_cell_angle_alpha 90.00
_cell_angle_beta 109.65
_cell_angle_gamma 90.00
loop_
_atom_site_label
_atom_site_type_symbol
_atom_site_fract_x
_atom_site_fract_y
_atom_site_fract_z
_atom_site_occupancy
Sr1 Sr 0.225 0.000 0.238 1
Sr2 Sr 0.225 0.500 0.746 1
P1 P 0.000 0.500 0.000 1
S1 S 0.000 0.000 0.500 1
Cl1 Cl 0.500 0.000 0.000 1
Cl2 Cl 0.500 0.500 0.500 1
# Fermi-level density of states in states/eV/cell: 3.406
# Volume in Å³ per atom: 29.003
# Formation energy without anion corrections in eV per atom: -1.79
# Calculated total energy in eV/atom: -4.287


Record 8
# PBE AcMgCdGe2, optimized geometry
data_AcMgCdGe2
_symmetry_space_group_name_H-M 'I -4 m 2'
_symmetry_Int_Tables_number 119
_symmetry_space_group_name_Hall 'I -4 -2'
_cell_length_a 4.436
_cell_length_b 4.436
_cell_length_c 12.265
_cell_angle_alpha 90.00
_cell_angle_beta 90.00
_cell_angle_gamma 90.00
loop_
_atom_site_label
_atom_site_type_symbol
_atom_site_fract_x
_atom_site_fract_y
_atom_site_fract_z
_atom_site_occupancy
Ac1 Ac 0.000 0.000 0.000 1
Mg1 Mg 0.000 0.500 0.250 1
Cd1 Cd 0.000 0.500 0.750 1
Ge1 Ge 0.000 0.000 0.392 1
# Fermi-level density of states in states/eV/cell: 4.114
# ΔE_f in eV per atom: -0.475
# Volume in Å³ per atom: 24.136
# Calculated total energy in eV/atom: -3.646


Which value of Fermi-level density of states does entry 2 give?
12.981 states/eV/cell